! Sm6Tm2Zn, optimized geometry, DFT PBE; values from VASP
! Raw total energy: -4.272 eV/atom
! Formation enthalpy at 0 K: 0.01 eV per atom
! Mass density: 7.76 g/cm3
&SYSTEM
  ibrav = 0, nat = 18, ntyp = 3
/
ATOMIC_SPECIES
Sm 150.36 Sm.upf
Tm 168.93 Tm.upf
Zn 65.41 Zn.upf
CELL_PARAMETERS angstrom
-1.6047 0.8627 5.0857
-4.5300 -9.0936 0.1132
8.5955 -4.2390 3.4313
ATOMIC_POSITIONS angstrom
Sm -0.1795 -0.2916 5.7309
Sm 1.5609 -8.5484 1.9429
Sm 3.1267 -8.5293 8.1713
Sm 3.9789 -3.3214 4.6887
Sm 6.5735 -5.3209 5.8458
Sm -0.5558 -5.8055 3.6789
Sm 2.6403 -12.1784 2.8993
Sm 0.8999 -3.9215 6.6873
Sm -0.6659 -3.9406 0.4589
Sm -1.5181 -9.1485 3.9415
Sm -4.1127 -7.1491 2.7844
Sm 3.0166 -6.6644 4.9513
Tm 3.8300 -5.0668 7.8061
Tm 1.7923 -9.7614 5.0909
Tm 0.6685 -2.7085 3.5393
Tm -1.3692 -7.4031 0.8241
Zn -3.0673 -4.1154 2.5994
Zn 4.2977 -2.1195 1.7157

=====

! AlTlCd, optimized geometry, DFT PBE; values from VASP
! Raw total energy: -2.111 eV/atom
! Formation enthalpy at 0 K: 0.23 eV per atom
! Mass density: 7.61 g/cm3
&SYSTEM
  ibrav = 0, nat = 3, ntyp = 3
/
ATOMIC_SPECIES
Tl 204.38 Tl.upf
Al 26.98 Al.upf
Cd 112.41 Cd.upf
CELL_PARAMETERS angstrom
-1.6205 4.4270 1.5148
0.4933 -3.7013 3.2520
3.3274 1.0009 0.6344
ATOMIC_POSITIONS angstrom
Tl 2.0063 -0.3248 3.0957
Al 0.5534 0.1665 0.1055
Cd -0.3594 1.8849 2.1999

=====

! DyTh2Mn, optimized geometry, DFT PBE; values from VASP
! Raw total energy: -6.937 eV/atom
! Formation enthalpy at 0 K: 0.22 eV per atom
! Mass density: 10.17 g/cm3
&SYSTEM
  ibrav = 0, nat = 4, ntyp = 3
/
ATOMIC_SPECIES
Mn 54.94 Mn.upf
Th 232.04 Th.upf
Dy 162.50 Dy.upf
CELL_PARAMETERS angstrom
3.7723 0.0000 0.0000
1.8862 3.2669 0.0000
1.8862 1.0890 9.0259
ATOMIC_POSITIONS angstrom
Mn 0.0000 0.0000 0.0000
Th 1.8862 1.0890 1.5899
Th 5.6585 3.2669 7.4360
Dy 3.7723 2.1780 4.5129

=====

! ZrTlZnFe2, optimized geometry, DFT PBE; values from VASP
! Raw total energy: -4.311 eV/atom
! Formation enthalpy at 0 K: 1.51 eV per atom
! Mass density: 6.60 g/cm3
&SYSTEM
  ibrav = 0, nat = 5, ntyp = 4
/
ATOMIC_SPECIES
Tl 204.38 Tl.upf
Zn 65.41 Zn.upf
Zr 91.22 Zr.upf
Fe 55.84 Fe.upf
CELL_PARAMETERS angstrom
-0.9033 -4.5735 -0.8377
5.1686 -1.0937 0.3976
-0.5161 -0.7494 4.6483
ATOMIC_POSITIONS angstrom
Tl 0.0000 0.0000 0.0000
Zn 1.8746 -3.2083 2.1041
Zr 2.5843 -0.5468 0.1988
Fe -0.2581 -0.3747 2.3241
Fe -0.4517 -2.2867 -0.4188

=====

! Er2TeSeS, optimized geometry, DFT PBE; values from VASP
! Formation energy without anion corrections: -1.678 eV per atom
! Raw total energy: -5.654 eV/atom
! Mass density: 6.63 g/cm3
&SYSTEM
  ibrav = 0, nat = 10, ntyp = 4
/
ATOMIC_SPECIES
Er 167.26 Er.upf
Te 127.60 Te.upf
Se 78.96 Se.upf
S 32.06 S.upf
CELL_PARAMETERS angstrom
-1.1240 -3.6730 -2.0523
7.1495 -4.1401 -1.1268
-0.9859 -5.7391 6.1906
ATOMIC_POSITIONS angstrom
Er 5.1469 -7.0142 0.4932
Er -0.1072 -6.5380 2.5183
Er 1.0543 -4.5783 -1.6250
Er 3.9854 -8.9739 4.6365
Te 3.8457 -9.6920 1.3776
Te 1.1939 -3.8601 1.6339
Se -0.4726 -5.1399 4.8369
Se 5.5123 -8.4123 -1.8255
S 1.4755 -7.9822 4.2363
S 3.5642 -5.5700 -1.2248

=====

! BeAg2Cl, optimized geometry, DFT PBE; values from VASP
! Formation energy without anion corrections: 0.137 eV per atom
! Raw total energy: -2.682 eV/atom
! Mass density: 6.34 g/cm3
&SYSTEM
  ibrav = 0, nat = 4, ntyp = 3
/
ATOMIC_SPECIES
Be 9.01 Be.upf
Ag 107.87 Ag.upf
Cl 35.45 Cl.upf
CELL_PARAMETERS angstrom
-1.0135 -2.9660 -0.1365
1.3250 0.8363 2.7181
-6.8343 2.2134 2.6506
ATOMIC_POSITIONS angstrom
Be -1.5528 -0.5115 1.9534
Ag -0.2044 0.0662 0.0793
Ag -3.2128 1.0405 1.2461
Cl -4.9699 0.5952 3.2788

=====

Q: Among the records above, which one has the highest mass density?
A: DyTh2Mn